Compound: Sc3Ga7Co2
Source: Alexandria via LeMat-Bulk
Functional: PBE-GGA
Structure: optimized geometry

Summary:
crystal system: orthorhombic
volume: 420.37 Å³/cell
spin magnetization: 0.00 μB/atom
formation energy: -0.3440 eV/atom
distance to the lowest polymorph of the same formula: 12.9 kJ per mole of atoms
total DFT energy (no corrections): -4.88 eV/atom

Unit cell a=4.394 b=21.804 c=4.387 alpha=90.00 beta=90.00 gamma=90.00
Space group Cmmm (No. 65)
Symmetry-distinct sites (fractional):
Sc (0.000, 0.000, 0.000) x2
Sc (0.000, 0.183, 0.000) x4
Ga (0.000, 0.092, 0.500) x4
Ga (0.000, 0.281, 0.500) x4
Ga (0.000, 0.409, 0.000) x4
Ga (0.000, 0.500, 0.500) x2
Co (0.000, 0.388, 0.500) x4